<A>
A relaxed structure of O. Source: Alexandria, functional PBE-GGA.

The value obtained for the volume is 21.95 Å³ per atom.

It has space group P6_3/m (No. 176), with a = 7.8936 Å, b = 7.8936 Å, c = 4.8816 Å, α = 90.00°, β = 90.00° and γ = 120.00°. The distinct sites, in fractional coordinates, are O at (0.0793, 0.6497, 0.2500) and O at (0.1203, 0.8222, 0.2500).

=====

<B>
A relaxed structure of O. Source: Alexandria, functional PBE-GGA.

The value obtained for the volume is 10.64 Å³ per atom.

It has space group Fd-3m (No. 227, origin choice 2), with a = 4.3988 Å, b = 4.3988 Å, c = 4.3988 Å, α = 90.00°, β = 90.00° and γ = 90.00°. The distinct sites, in fractional coordinates, are O at (0.1250, 0.1250, 0.1250).

=====

Energy relative to the most stable one, in meV/atom: <A> 0; <B> 1837

=====

<A>
A relaxed structure of O. Source: Alexandria, functional PBE-GGA.

The value obtained for the volume is 15.39 Å³ per atom.

It has space group C222_1 (No. 20), with a = 5.3251 Å, b = 9.5573 Å, c = 4.8383 Å, α = 90.00°, β = 90.00° and γ = 90.00°. The distinct sites, in fractional coordinates, are O at (0.1845, 0.1636, 0.2113) and O at (0.2056, 0.0350, 0.1990).

=====

<B>
A relaxed structure of O. Source: Alexandria, functional PBE-GGA.

The value obtained for the volume is 16.96 Å³ per atom.

It has space group I4/mmm (No. 139), with a = 7.3233 Å, b = 7.3233 Å, c = 2.5301 Å, α = 90.00°, β = 90.00° and γ = 90.00°. The distinct sites, in fractional coordinates, are O at (0.2112, 0.2112, 0.0000).

=====

Energy relative to the most stable one, in meV/atom: <A> 0; <B> 786

=====

<A>
A relaxed structure of O. Source: Alexandria, functional PBE-GGA.

The value obtained for the volume is 17.00 Å³ per atom.

It has space group P2/m (No. 10), with a = 3.4099 Å, b = 1.5288 Å, c = 3.5363 Å, α = 90.00°, β = 112.76° and γ = 90.00°. The distinct sites, in fractional coordinates, are O at (0.0000, 0.0000, 0.0000).

=====

<B>
A relaxed structure of O. Source: Alexandria, functional PBE-GGA.

The value obtained for the volume is 17.27 Å³ per atom.

It has space group I4/m (No. 87), with a = 10.4787 Å, b = 10.4787 Å, c = 2.5163 Å, α = 90.00°, β = 90.00° and γ = 90.00°. The distinct sites, in fractional coordinates, are O at (0.0482, 0.2963, 0.0000) and O at (0.1091, 0.1959, 0.0000).

=====

Energy relative to the most stable one, in meV/atom: <A> 1182; <B> 0

=====

<A>
A relaxed structure of O. Source: Alexandria, functional PBE-GGA.

The value obtained for the volume is 16.72 Å³ per atom.

It has space group P1 (No. 1), with a = 4.4872 Å, b = 5.2622 Å, c = 8.4954 Å, α = 90.24°, β = 90.20° and γ = 90.06°. The distinct sites, in fractional coordinates, are O at (0.0000, 0.0000, 0.0000), O at (0.0015, 0.2394, 0.9685), O at (0.1634, 0.0570, 0.5179), O at (0.2449, 0.5570, 0.2104), O at (0.4073, 0.7410, 0.7591), O at (0.4089, 0.5010, 0.7282), O at (0.4987, 0.4489, 0.2286), O at (0.5009, 0.2093, 0.2594), O at (0.6624, 0.3923, 0.7104), O at (0.7466, 0.8914, 0.0188), O at (0.9070, 0.7084, 0.4690) and O at (0.9095, 0.9484, 0.4999).

=====

<B>
A relaxed structure of O. Source: Alexandria, functional PBE-GGA.

The value obtained for the volume is 20.20 Å³ per atom.

It has space group C2/m (No. 12), with a = 4.9322 Å, b = 4.9415 Å, c = 3.9042 Å, α = 90.00°, β = 121.88° and γ = 90.00°. The distinct sites, in fractional coordinates, are O at (0.1354, 0.0000, 0.1521).

=====

<C>
A relaxed structure of O. Source: Alexandria, functional PBE-GGA.

The value obtained for the volume is 17.41 Å³ per atom.

It has space group Pmmn (No. 59, origin choice 2), with a = 4.6691 Å, b = 12.4448 Å, c = 3.5959 Å, α = 90.00°, β = 90.00° and γ = 90.00°. The distinct sites, in fractional coordinates, are O at (0.1179, 0.2500, 0.0854), O at (0.2500, 0.0353, 0.6354) and O at (0.2500, 0.5532, 0.4823).

=====

Energy relative to the most stable one, in meV/atom: <A> 415; <B> 0; <C> 64

=====

<A>
A relaxed structure of O. Source: Alexandria, functional PBE-GGA.

The value obtained for the volume is 8.71 Å³ per atom.

It has space group I4_1/amd (No. 141, origin choice 2), with a = 3.4684 Å, b = 3.4684 Å, c = 2.8961 Å, α = 90.00°, β = 90.00° and γ = 90.00°. The distinct sites, in fractional coordinates, are O at (0.0000, 0.2500, 0.3750).

=====

<B>
A relaxed structure of O. Source: Alexandria, functional PBE-GGA.

The value obtained for the volume is 13.18 Å³ per atom.

It has space group P-1 (No. 2), with a = 2.3969 Å, b = 4.5111 Å, c = 5.4219 Å, α = 70.25°, β = 77.35° and γ = 74.84°. The distinct sites, in fractional coordinates, are O at (0.0402, 0.1572, 0.2627) and O at (0.1540, 0.8614, 0.3270).

=====

Energy relative to the most stable one, in meV/atom: <A> 1649; <B> 0

=====

<A>
A relaxed structure of O. Source: Alexandria, functional PBE-GGA.

The value obtained for the volume is 17.41 Å³ per atom.

It has space group Pmmn (No. 59, origin choice 2), with a = 3.9837 Å, b = 9.3478 Å, c = 5.6088 Å, α = 90.00°, β = 90.00° and γ = 90.00°. The distinct sites, in fractional coordinates, are O at (0.2500, 0.1316, 0.0445), O at (0.2500, 0.2500, 0.9270), O at (0.2500, 0.6317, 0.6228) and O at (0.2500, 0.7500, 0.5051).

=====

<B>
A relaxed structure of O. Source: Alexandria, functional PBE-GGA.

The value obtained for the volume is 11.77 Å³ per atom.

It has space group P6_3/mmc (No. 194), with a = 2.5183 Å, b = 2.5183 Å, c = 8.5703 Å, α = 90.00°, β = 90.00° and γ = 120.00°. The distinct sites, in fractional coordinates, are O at (0.3333, 0.6667, 0.1783).

=====

<C>
A relaxed structure of O. Source: Alexandria, functional PBE-GGA.

The value obtained for the volume is 13.75 Å³ per atom.

It has space group P2_1/m (No. 11), with a = 4.3451 Å, b = 3.1058 Å, c = 4.5996 Å, α = 90.00°, β = 117.60° and γ = 90.00°. The distinct sites, in fractional coordinates, are O at (0.0959, 0.2500, 0.3495) and O at (0.2431, 0.2500, 0.6515).

=====

<D>
A relaxed structure of O. Source: Alexandria, functional PBE-GGA.

The value obtained for the volume is 18.88 Å³ per atom.

It has space group P1 (No. 1), with a = 4.8060 Å, b = 5.5723 Å, c = 7.0534 Å, α = 91.54°, β = 90.76° and γ = 90.50°. The distinct sites, in fractional coordinates, are O at (0.0000, 0.0000, 0.0000), O at (0.0071, 0.2006, 0.9311), O at (0.1390, 0.1585, 0.4290), O at (0.4068, 0.6033, 0.6563), O at (0.4156, 0.8278, 0.7036), O at (0.4992, 0.6292, 0.1200), O at (0.5183, 0.4240, 0.1790), O at (0.6275, 0.4801, 0.6841), O at (0.9063, 0.8168, 0.4200) and O at (0.9131, 0.0430, 0.4620).

=====

Energy relative to the most stable one, in meV/atom: <A> 441; <B> 137; <C> 0; <D> 271

=====

<A>
A relaxed structure of O. Source: Alexandria, functional PBE-GGA.

The value obtained for the volume is 16.58 Å³ per atom.

It has space group Pbca (No. 61), with a = 6.8351 Å, b = 7.3519 Å, c = 7.9184 Å, α = 90.00°, β = 90.00° and γ = 90.00°. The distinct sites, in fractional coordinates, are O at (0.0371, 0.0430, 0.1752), O at (0.1498, 0.1678, 0.1160) and O at (0.2444, 0.6288, 0.9870).

=====

<B>
A relaxed structure of O. Source: Alexandria, functional PBE-GGA.

The value obtained for the volume is 12.30 Å³ per atom.

It has space group C2/c (No. 15), with a = 7.1902 Å, b = 8.5073 Å, c = 3.4122 Å, α = 90.00°, β = 109.42° and γ = 90.00°. The distinct sites, in fractional coordinates, are O at (0.0535, 0.1663, 0.1437) and O at (0.2430, 0.0176, 0.3010).

=====

<C>
A relaxed structure of O. Source: Alexandria, functional PBE-GGA.

The value obtained for the volume is 12.83 Å³ per atom.

It has space group Im-3m (No. 229), with a = 5.3602 Å, b = 5.3602 Å, c = 5.3602 Å, α = 90.00°, β = 90.00° and γ = 90.00°. The distinct sites, in fractional coordinates, are O at (0.0000, 0.2500, 0.5000).

=====

<D>
A relaxed structure of O. Source: Alexandria, functional PBE-GGA.

The value obtained for the volume is 15.31 Å³ per atom.

It has space group P4_12_12 (No. 92), with a = 5.2776 Å, b = 5.2776 Å, c = 6.5946 Å, α = 90.00°, β = 90.00° and γ = 90.00°. The distinct sites, in fractional coordinates, are O at (0.0099, 0.0099, 0.0000) and O at (0.0655, 0.7761, 0.0342).

=====

Energy relative to the most stable one, in meV/atom: <A> 0; <B> 324; <C> 1448; <D> 24

=====

<A>
A relaxed structure of O. Source: Alexandria, functional PBE-GGA.

The value obtained for the volume is 7.92 Å³ per atom.

It has space group Pm-3m (No. 221), with a = 1.9934 Å, b = 1.9934 Å, c = 1.9934 Å, α = 90.00°, β = 90.00° and γ = 90.00°. The distinct sites, in fractional coordinates, are O at (0.0000, 0.0000, 0.0000).

=====

<B>
A relaxed structure of O. Source: Alexandria, functional PBE-GGA.

The value obtained for the volume is 16.34 Å³ per atom.

It has space group Cmcm (No. 63), with a = 1.5297 Å, b = 7.0267 Å, c = 6.0804 Å, α = 90.00°, β = 90.00° and γ = 90.00°. The distinct sites, in fractional coordinates, are O at (0.0000, 0.1235, 0.2500).

=====

<C>
A relaxed structure of O. Source: Alexandria, functional PBE-GGA.

The value obtained for the volume is 27.46 Å³ per atom.

It has space group Im-3m (No. 229), with a = 7.6021 Å, b = 7.6021 Å, c = 7.6021 Å, α = 90.00°, β = 90.00° and γ = 90.00°. The distinct sites, in fractional coordinates, are O at (0.2032, 0.2032, 0.2032).

=====

<D>
A relaxed structure of O. Source: Alexandria, functional PBE-GGA.

The value obtained for the volume is 11.19 Å³ per atom.

It has space group Fm-3m (No. 225), with a = 3.5506 Å, b = 3.5506 Å, c = 3.5506 Å, α = 90.00°, β = 90.00° and γ = 90.00°. The distinct sites, in fractional coordinates, are O at (0.0000, 0.0000, 0.0000).

=====

Energy relative to the most stable one, in meV/atom: <A> 1801; <B> 1250; <C> 0; <D> 2266